# 1
Entry from Alexandria: crystalline BeCrFe2B at its relaxed geometry (PBE).

Computed properties:
calculated total energy: -6.297 eV/atom

a = 3.780 Å, b = 3.968 Å, c = 3.780 Å
α = 90.00°, β = 90.00°, γ = 90.00°
Last column: magnetic moment on the atom in μB.
Positions (direct):
1 B 0.500 0.500 0.500  -0.14
2 Cr 0.000 0.500 0.000  2.00
3 Fe 0.500 0.000 0.000  1.98
4 Be 0.000 0.000 0.000  -0.11
5 Fe 0.000 0.000 0.500  2.54

# 2
Entry from Alexandria: crystalline Be2CrGaB at its relaxed geometry (PBE).

Computed properties:
polymorph energy (0 for the lowest one): 470 meV per atom

a = 4.142 Å, b = 3.882 Å, c = 4.142 Å
α = 90.00°, β = 90.00°, γ = 90.00°
Positions (direct):
1 Ga 0.500 0.500 0.500
2 Cr 0.000 0.000 0.000
3 Be 0.500 0.000 0.000
4 Be 0.000 0.000 0.500
5 B 0.000 0.500 0.000

# 3
Entry from Alexandria: crystalline Be2CrGaB at its relaxed geometry (PBE).

Computed properties:
polymorph energy (0 for the lowest one): 0 meV per atom

a = 3.561 Å, b = 4.465 Å, c = 3.561 Å
α = 90.00°, β = 90.00°, γ = 90.00°
Positions (direct):
1 Ga 0.000 0.500 0.000
2 Be 0.500 0.000 0.000
3 Cr 0.500 0.500 0.500
4 B 0.000 0.000 0.000
5 Be 0.000 0.000 0.500

# 4
Entry from Alexandria: crystalline KBeCr2B at its relaxed geometry (PBE).

Computed properties:
polymorph energy (0 for the lowest one): 0 meV per atom

a = 4.855 Å, b = 3.702 Å, c = 4.855 Å
α = 90.00°, β = 90.00°, γ = 90.00°
Last column: magnetic moment on the atom in μB.
Positions (direct):
1 Cr 0.500 0.000 0.000  3.95
2 Be 0.000 0.000 0.000  0.02
3 B 0.000 0.500 0.000  -0.12
4 K 0.500 0.500 0.500  0.10
5 Cr 0.000 0.000 0.500  3.98

# 5
Entry from Alexandria: crystalline KBeCr2B at its relaxed geometry (PBE).

Computed properties:
polymorph energy (0 for the lowest one): 1687 meV per atom

a = 5.182 Å, b = 4.504 Å, c = 5.182 Å
α = 90.00°, β = 90.00°, γ = 90.00°
Last column: magnetic moment on the atom in μB.
Positions (direct):
1 K 0.000 0.000 0.000  0.12
2 Be 0.500 0.500 0.500  -0.07
3 B 0.000 0.500 0.000  -0.21
4 Cr 0.500 0.000 0.000  4.20
5 Cr 0.000 0.000 0.500  4.09

# 6
Entry from Alexandria: crystalline Np2Be3CrB12 at its relaxed geometry (PBE).

Computed properties:
calculated total energy: -6.790 eV/atom

a = 8.033 Å, b = 8.033 Å, c = 8.033 Å
α = 38.00°, β = 38.00°, γ = 38.00°
Last column: magnetic moment on the atom in μB.
Positions (direct):
1 B 0.345 0.013 0.345  -0.03
2 B 0.677 0.048 0.048  -0.01
3 Be 0.000 0.500 0.000  -0.01
4 B 0.655 0.987 0.655  -0.03
5 Np 0.649 0.649 0.649  2.99
6 B 0.048 0.048 0.677  -0.01
7 B 0.655 0.655 0.987  -0.03
8 B 0.013 0.345 0.345  -0.03
9 B 0.952 0.323 0.952  -0.01
10 B 0.987 0.655 0.655  -0.03
11 Cr 0.000 0.000 0.000  -0.93
12 B 0.048 0.677 0.048  -0.01
13 B 0.323 0.952 0.952  -0.01
14 B 0.345 0.345 0.013  -0.03
15 Be 0.500 0.000 0.000  -0.01
16 B 0.952 0.952 0.323  -0.01
17 Be 0.000 0.000 0.500  -0.01
18 Np 0.351 0.351 0.351  2.99

# 7
Entry from Alexandria: crystalline Be2TlCrB at its relaxed geometry (PBE).

Computed properties:
calculated total energy: -4.819 eV/atom

a = 3.877 Å, b = 4.127 Å, c = 3.877 Å
α = 90.00°, β = 90.00°, γ = 90.00°
Last column: magnetic moment on the atom in μB.
Positions (direct):
1 B 0.000 0.000 0.000  -0.04
2 Be 0.500 0.000 0.000  -0.03
3 Be 0.000 0.000 0.500  -0.02
4 Cr 0.000 0.500 0.000  1.90
5 Tl 0.500 0.500 0.500  -0.05

# 8
Entry from Alexandria: crystalline BeZn2CrB at its relaxed geometry (PBE).

Computed properties:
calculated total energy: -3.521 eV/atom

a = 4.201 Å, b = 3.474 Å, c = 4.201 Å
α = 90.00°, β = 90.00°, γ = 90.00°
Last column: magnetic moment on the atom in μB.
Positions (direct):
1 B 0.000 0.500 0.000  0.01
2 Cr 0.500 0.500 0.500  -0.18
3 Zn 0.000 0.000 0.500  0.01
4 Be 0.000 0.000 0.000  -0.01
5 Zn 0.500 0.000 0.000  0.01